Density functional theory data (GGA-PBEsol) for a relaxed Al2OsAu crystal.

Cell: 3.138 3.138 5.833 Å, 90.00 90.00 90.00°
Fractional coordinates of all 4 atoms:
1 Os 0.500 0.500 0.500
2 Au 0.500 0.500 0.000
3 Al 0.000 0.000 0.268
4 Al 0.000 0.000 0.732

Properties
E_tot	-26.1	eV/f.u.
formation energy from the elements	-0.446	eV per atom